The following is a PBE-GGA calculation of crystalline InFe4Br at its relaxed geometry, from the Alexandria database.

Lattice parameters (Å, degrees): 5.166 5.166 5.166 60.00 60.00 60.00
Each line ends with the local moment (μB).
Positions (direct):
1 In 0.750 0.750 0.750  -0.07
2 Fe 0.870 0.377 0.377  2.85
3 Fe 0.377 0.377 0.870  2.85
4 Fe 0.377 0.870 0.377  2.85
5 Fe 0.377 0.377 0.377  2.85
6 Br 0.000 0.000 0.000  0.24

- E_form (uncorrected) (eV/atom) = 0.49

***

The following is a PBE-GGA calculation of crystalline Sc2CuAs2 at its relaxed geometry, from the Alexandria database.

Lattice parameters (Å, degrees): 7.062 7.062 3.692 90.00 90.00 90.00
Positions (direct):
1 Sc 0.155 0.655 0.500
2 Sc 0.655 0.845 0.500
3 Sc 0.845 0.345 0.500
4 Sc 0.345 0.155 0.500
5 As 0.343 0.843 0.000
6 As 0.843 0.657 0.000
7 As 0.657 0.157 0.000
8 As 0.157 0.343 0.000
9 Cu 0.000 0.000 0.000
10 Cu 0.500 0.500 0.000

- ΔH_f (0 K) (kJ/mol of formula units) = -389

***

The following is a PBE-GGA calculation of crystalline BaSr2Y at its relaxed geometry, from the Alexandria database.

Lattice parameters (Å, degrees): 7.121 7.121 4.017 90.00 90.00 110.40
Each line ends with the local moment (μB).
Positions (direct):
1 Ba 0.000 0.500 0.500  0.06
2 Sr 0.000 0.000 0.000  0.02
3 Sr 0.500 0.500 0.000  0.02
4 Y 0.500 0.000 0.500  0.09

- ΔH_f (0 K) (kJ/mol of formula units) = 84

***

The following is a PBE-GGA calculation of crystalline Pr6Tl2N at its relaxed geometry, from the Alexandria database.

Lattice parameters (Å, degrees): 7.219 7.219 7.220 60.00 60.00 60.01
Positions (direct):
1 Pr 0.256 0.256 0.744
2 Pr 0.256 0.744 0.256
3 Pr 0.744 0.256 0.744
4 Pr 0.744 0.256 0.256
5 Pr 0.256 0.744 0.744
6 Pr 0.744 0.744 0.256
7 Tl 0.250 0.250 0.250
8 Tl 0.750 0.750 0.750
9 N 0.500 0.500 0.500

- E_form (uncorrected) (eV/atom) = -0.48

***

The following is a PBE-GGA calculation of crystalline Tb2SmHoSe4 at its relaxed geometry, from the Alexandria database.

Lattice parameters (Å, degrees): 4.053 7.103 7.182 71.16 90.00 90.00
Positions (direct):
1 Tb 0.000 0.000 0.000
2 Tb 0.500 0.000 0.500
3 Sm 0.500 0.500 0.000
4 Ho 0.000 0.500 0.500
5 Se 0.000 0.753 0.744
6 Se 0.000 0.247 0.256
7 Se 0.500 0.750 0.255
8 Se 0.500 0.250 0.745

- E_form (uncorrected) (eV/atom) = -1.77

***

The following is a PBE-GGA calculation of crystalline Na3TeH at its relaxed geometry, from the Alexandria database.

Lattice parameters (Å, degrees): 20.068 8.665 8.665 146.65 156.21 23.79
Positions (direct):
1 Na 0.808 0.158 0.842
2 Na 0.192 0.842 0.158
3 Na 0.895 0.432 0.568
4 Na 0.105 0.568 0.432
5 Na 0.447 0.749 0.251
6 Na 0.553 0.251 0.749
7 Te 0.682 0.917 0.083
8 Te 0.318 0.083 0.917
9 H 0.880 0.943 0.057
10 H 0.120 0.057 0.943

- raw total energy (eV per cell) = -26.22